## CsAc2CoF8 (PBE with a Hubbard U)

Data for a relaxed CsAc2CoF8 crystal.

```
data_CsAc2CoF8
_chemical_formula_sum 'Cs1 Ac2 Co1 F8'
_cell_length_a 4.733
_cell_length_b 6.641
_cell_length_c 7.748
_cell_angle_alpha 100.42
_cell_angle_beta 104.24
_cell_angle_gamma 100.93
_space_group_name_H-M_alt 'P -1'
_space_group_IT_number 2
_space_group_name_Hall '-P 1'
loop_
_atom_site_label
_atom_site_fract_x
_atom_site_fract_y
_atom_site_fract_z
Cs1 0.000 0.000 0.000
Ac1 0.326 0.454 0.713
Co1 0.500 0.000 0.500
F1 0.074 0.850 0.336
F2 0.182 0.450 0.369
F3 0.357 0.651 0.024
F4 0.431 0.820 0.687
```

## Properties
Electronic total energy ... -0.21136 Ha/atom